--- a ---
Below is a PBEsol-optimized structure of NiIrCl2, with properties calculated at the SCAN level.

abc: 4.285 4.285 4.285
angles: 119.95 119.95 90.09
Fractional coordinates of all 4 atoms:
Ni1 0.000 0.000 0.000
Ir1 0.500 0.500 0.000
Cl1 0.250 0.750 0.500
Cl2 0.750 0.250 0.500

Summary:
Crystal system = tetragonal
N(E_F) = 3.8 states/eV per cell
Space group = No. 139
ρ = 9.60 Mg/m³

---

--- b ---
Below is a PBEsol-optimized structure of NiIrCl2, with properties calculated at the SCAN level.

abc: 6.892 6.892 6.892
angles: 29.47 29.47 29.47
Fractional coordinates of all 4 atoms:
Ni1 0.000 0.000 0.000
Ir1 0.264 0.264 0.264
Cl1 0.537 0.537 0.537
Cl2 0.721 0.721 0.721

Summary:
Crystal system = trigonal
N(E_F) = 3.5 states/eV per cell
Space group = No. 160
ρ = 7.62 Mg/m³

---

According to the calculations, the structures order from most to least stable as b, a.